AlFe3Se2ClO8 | PBE with a Hubbard U | relaxed

a = 5.918 Å, b = 8.241 Å, c = 10.018 Å
α = 84.98°, β = 80.06°, γ = 89.55°
Element x y z (fractional)
1 Al 0.201 0.141 0.235
2 Al 0.799 0.859 0.765
3 Fe 0.000 0.000 0.000
4 Fe 0.000 0.000 0.500
5 Fe 0.281 0.766 0.244
6 Fe 0.500 0.000 0.000
7 Fe 0.500 0.000 0.500
8 Fe 0.719 0.234 0.756
9 Se 0.203 0.629 0.573
10 Se 0.281 0.650 0.904
11 Se 0.719 0.350 0.096
12 Se 0.797 0.371 0.427
13 Cl 0.301 0.188 0.823
14 Cl 0.699 0.812 0.177
15 O 0.032 0.231 0.385
16 O 0.058 0.787 0.876
17 O 0.184 0.609 0.407
18 O 0.208 0.968 0.131
19 O 0.245 0.623 0.075
20 O 0.280 0.988 0.369
21 O 0.430 0.756 0.569
22 O 0.473 0.216 0.130
23 O 0.527 0.784 0.870
24 O 0.570 0.244 0.431
25 O 0.720 0.012 0.631
26 O 0.755 0.377 0.925
27 O 0.792 0.032 0.869
28 O 0.816 0.391 0.593
29 O 0.942 0.213 0.124
30 O 0.968 0.769 0.615

Summary:
**SG**: P-1 (2)
**Final energy**: -88.96 eV per formula unit
**Spin magnetization**: 12.0 μB per formula unit